Record 1
Material: CsMgAgTe2
Method: DFT, GGA-PBE
State: optimized geometry

Output
Formation energy without anion corrections in eV/atom: -0.768
Space-group type: Cmme
Magnetization in Bohr magnetons per cell: 0.0
DFT total energy in eV/atom: -3.08

abc: 8.5669 8.5669 6.9874
angles: 90.00 90.00 132.83
Last column: nearest neighbours and their distance in Å.
Positions (direct):
Cs (0.2500, 0.7500, 0.7689)  8 Te 4.01-4.25, 2 Ag 4.24
Cs (0.7500, 0.2500, 0.2311)  8 Te 4.01-4.25, 2 Ag 4.24
Mg (0.2500, 0.2500, 0.5000)  4 Te 2.85
Mg (0.7500, 0.7500, 0.5000)  4 Te 2.85
Ag (0.0000, 0.0000, 0.0000)  2 Te 2.66
Ag (0.5000, 0.5000, 0.0000)  2 Te 2.66
Te (0.1103, 0.8897, 0.2894)  1 Ag 2.66, 2 Mg 2.85
Te (0.3897, 0.6103, 0.2894)  1 Ag 2.66, 2 Mg 2.85
Te (0.6103, 0.3897, 0.7106)  1 Ag 2.66, 2 Mg 2.85
Te (0.8897, 0.1103, 0.7106)  1 Ag 2.66, 2 Mg 2.85



Record 2
Material: TaSiSe2
Method: DFT, GGA-PBE
State: optimized geometry

Output
Formation energy without anion corrections in eV/atom: -0.264
Space-group type: R3m
Magnetization in Bohr magnetons per cell: 0.0
DFT total energy in eV/atom: -6.33

abc: 8.9754 8.9754 8.9754
angles: 21.15 21.15 21.15
Last column: nearest neighbours and their distance in Å.
Positions (direct):
Ta (0.0000, 0.0000, 0.0000)  3 Se 2.56, 3 Si 2.79
Si (0.2557, 0.2557, 0.2557)  3 Se 2.48
Se (0.5288, 0.5288, 0.5288)  3 Si 2.48
Se (0.7319, 0.7319, 0.7319)  3 Ta 2.56



Record 3
Material: KNi2As
Method: DFT, GGA-PBE
State: optimized geometry

Output
Space-group type: Imm2
Energy of formation in eV/f.u.: 1.39
Magnetization in Bohr magnetons per cell: 0.0
DFT total energy in eV/atom: -3.98

abc: 5.7765 5.7765 5.7765
angles: 152.15 125.05 62.72
Last column: nearest neighbours and their distance in Å.
Positions (direct):
K (0.0000, 0.0000, 0.0000)  2 K 2.78, 4 Ni 3.01
Ni (0.3102, 0.8102, 0.5000)  2 Ni 2.47
Ni (0.5167, 0.5167, 0.0000)  2 As 2.33, 2 Ni 2.47
As (0.7069, 0.2069, 0.5000)  2 Ni 2.33



Record 4
Material: Cs2TaTe
Method: DFT, GGA-PBE
State: optimized geometry

Output
Formation energy without anion corrections in eV/atom: 0.570
Space-group type: I-42d
Magnetization in Bohr magnetons per cell: 6.0
DFT total energy in eV/atom: -3.61

abc: 10.3784 10.3784 10.3784
angles: 93.87 93.87 149.89
Last column: nearest neighbours and their distance in Å.
Positions (direct):
Cs (0.3750, 0.0495, 0.1745)  2 Te 3.76
Cs (0.7995, 0.6250, 0.6745)  2 Te 3.76
Cs (0.8750, 0.2005, 0.8255)  2 Te 3.76
Cs (0.9505, 0.1250, 0.3255)  2 Te 3.76
Ta (0.2500, 0.7500, 0.5000)  2 Te 2.70
Ta (0.5000, 0.5000, 0.0000)  2 Te 2.70
Te (0.0000, 0.0000, 0.0000)  2 Ta 2.70
Te (0.7500, 0.2500, 0.5000)  2 Ta 2.70



- Among the records above, which one has the highest magnetization?
  Cs2TaTe